This record from Alexandria via LeMat-Bulk describes crystalline Zr2AsRu at its relaxed geometry. The functional is PBE.

Values from the calculation:
symmetry = P4/mmm
formation enthalpy at 0 K = -0.612 eV per atom

Lattice parameters (Å, degrees): 3.438 3.438 6.197 90.00 90.00 90.00
Fractional coordinates of all 4 atoms:
Zr (0.000, 0.000, 0.249)
Zr (0.000, 0.000, 0.751)
As (0.500, 0.500, 0.500)
Ru (0.500, 0.500, 0.000)